{"formula": "Li3As", "functional": "PBE", "state": "optimized geometry", "delta_e_f_ev_per_atom": -0.222, "dos_ef_per_ev_cell": 0.7, "cell": [[3.037, 0.000, 0.000], [-1.519, 2.630, 0.000], [0.000, 0.000, 9.312]], "species": ["Li", "As", "Li", "Li"], "frac_coords": [[0.667, 0.333, 0.786], [0.000, 0.000, 0.000], [0.667, 0.333, 0.214], [0.000, 0.000, 0.500]]}